This record from Alexandria via LeMat-Bulk describes a relaxed SmTmMgOs crystal. The functional is PBE.

a = 5.013 Å, b = 5.013 Å, c = 5.013 Å
α = 60.00°, β = 60.00°, γ = 60.00°
Fractional coordinates of all 4 atoms:
Os: 0.500 0.500 0.500
Sm: 0.750 0.750 0.750
Mg: 0.000 0.000 0.000
Tm: 0.250 0.250 0.250

DOS at the Fermi energy	3.04	states/eV/cell
energy relative to the lowest polymorph listed for this composition	62.1	meV/atom
crystal system	cubic
electronic total energy	-5.616	eV/atom
E_form	-0.11	eV per atom
space group	F-43m (216)

***

This record from Alexandria via LeMat-Bulk describes a relaxed PuNpTeAu crystal. The functional is PBE.

a = 5.238 Å, b = 5.238 Å, c = 5.238 Å
α = 60.00°, β = 60.00°, γ = 60.00°
Fractional coordinates of all 4 atoms:
Te: 0.500 0.500 0.500
Pu: 0.250 0.250 0.250
Au: 0.000 0.000 0.000
Np: 0.750 0.750 0.750

DOS at the Fermi energy	12.45	states/eV/cell
formation energy without anion corrections	-0.406	eV per atom
crystal system	cubic
electronic total energy	-8.829	eV/atom
space group	F-43m (216)

***

This record from Alexandria via LeMat-Bulk describes a relaxed Mg3Tc2 crystal. The functional is PBE.

a = 5.511 Å, b = 5.511 Å, c = 5.511 Å
α = 47.74°, β = 47.74°, γ = 47.74°
Fractional coordinates of all 5 atoms:
Mg: 0.905 0.905 0.905
Mg: 0.500 0.500 0.500
Mg: 0.095 0.095 0.095
Tc: 0.313 0.313 0.313
Tc: 0.687 0.687 0.687

DOS at the Fermi energy	3.29	states/eV/cell
energy relative to the lowest polymorph listed for this composition	118.0	meV/atom
crystal system	trigonal
electronic total energy	-4.988	eV/atom
E_form	0.12	eV per atom
space group	R-3m (166)

***

This record from Alexandria via LeMat-Bulk describes a relaxed TiZn2Cu crystal. The functional is PBE.

a = 6.951 Å, b = 6.951 Å, c = 5.574 Å
α = 51.42°, β = 51.42°, γ = 90.00°
Fractional coordinates of all 8 atoms:
Zn: 0.098 0.625 0.250
Zn: 0.652 0.125 0.250
Zn: 0.375 0.348 0.750
Zn: 0.875 0.902 0.750
Cu: 0.750 0.250 0.500
Cu: 0.000 0.000 0.000
Ti: 0.500 0.500 0.000
Ti: 0.250 0.750 0.500

DOS at the Fermi energy	7.33	states/eV/cell
crystal system	tetragonal
electronic total energy	-3.426	eV/atom
E_form	0.21	eV per atom
space group	I-42d (122)

***

This record from Alexandria via LeMat-Bulk describes a relaxed LaZr2Sc crystal. The functional is PBE.

a = 3.298 Å, b = 4.652 Å, c = 6.757 Å
α = 90.00°, β = 90.00°, γ = 90.00°
Fractional coordinates of all 4 atoms:
Zr: 0.000 0.000 0.526
Zr: 0.000 0.000 0.974
Sc: 0.500 0.500 0.750
La: 0.500 0.500 0.250

DOS at the Fermi energy	5.74	states/eV/cell
energy relative to the lowest polymorph listed for this composition	33.5	meV/atom
crystal system	orthorhombic
electronic total energy	-6.958	eV/atom
E_form	0.13	eV per atom
space group	Pmmm (47)

***

This record from Alexandria via LeMat-Bulk describes a relaxed KYP crystal. The functional is PBE.

a = 4.922 Å, b = 4.922 Å, c = 4.922 Å
α = 60.00°, β = 60.00°, γ = 60.00°
Fractional coordinates of all 3 atoms:
K: 0.500 0.500 0.500
Y: 0.000 0.000 0.000
P: 0.750 0.750 0.750

DOS at the Fermi energy	1.30	states/eV/cell
crystal system	cubic
electronic total energy	-4.701	eV/atom
E_form	-0.38	eV per atom
space group	F-43m (216)

***

This record from Alexandria via LeMat-Bulk describes a relaxed Ti2InAg crystal. The functional is PBE.

a = 7.617 Å, b = 7.617 Å, c = 6.038 Å
α = 50.89°, β = 50.89°, γ = 90.00°
Fractional coordinates of all 8 atoms:
Ti: 0.140 0.625 0.250
Ti: 0.375 0.390 0.750
Ti: 0.875 0.860 0.750
Ti: 0.610 0.125 0.250
Ag: 0.500 0.500 0.000
Ag: 0.250 0.750 0.500
In: 0.750 0.250 0.500
In: 0.000 0.000 0.000

DOS at the Fermi energy	10.79	states/eV/cell
crystal system	tetragonal
electronic total energy	-4.985	eV/atom
E_form	0.36	eV per atom
space group	I-42d (122)

***

This record from Alexandria via LeMat-Bulk describes a relaxed Li2ScReRh crystal. The functional is PBE.

a = 4.291 Å, b = 4.557 Å, c = 4.291 Å
α = 90.00°, β = 90.00°, γ = 90.00°
Fractional coordinates of all 5 atoms:
Li: 0.000 0.000 0.500
Li: 0.500 0.000 0.000
Re: 0.000 0.500 0.000
Rh: 0.500 0.500 0.500
Sc: 0.000 0.000 0.000

DOS at the Fermi energy	4.64	states/eV/cell
crystal system	tetragonal
electronic total energy	-4.552	eV/atom
E_form	1.44	eV per atom
space group	P4/mmm (123)

***

This record from Alexandria via LeMat-Bulk describes a relaxed SrTlS2 crystal. The functional is PBE.

a = 5.175 Å, b = 5.175 Å, c = 5.175 Å
α = 60.00°, β = 60.00°, γ = 60.00°
Fractional coordinates of all 4 atoms:
Tl: 0.500 0.500 0.500
S: 0.750 0.750 0.750
S: 0.250 0.250 0.250
Sr: 0.000 0.000 0.000

DOS at the Fermi energy	6.85	states/eV/cell
formation energy without anion corrections	-0.878	eV per atom
crystal system	cubic
electronic total energy	-3.954	eV/atom
space group	Fm-3m (225)

***

This record from Alexandria via LeMat-Bulk describes a relaxed Nd2Cd3Hg4 crystal. The functional is PBE.

a = 6.190 Å, b = 9.120 Å, c = 8.699 Å
α = 90.00°, β = 110.84°, γ = 90.00°
Fractional coordinates of all 18 atoms:
Hg: 0.291 0.250 0.082
Hg: 0.709 0.750 0.918
Hg: 0.682 0.534 0.365
Hg: 0.182 0.966 0.365
Hg: 0.818 0.034 0.635
Hg: 0.791 0.250 0.082
Hg: 0.318 0.466 0.635
Hg: 0.209 0.750 0.918
Cd: 0.530 0.750 0.561
Cd: 0.970 0.250 0.439
Cd: 0.470 0.250 0.439
Cd: 0.500 0.500 0.000
Cd: 0.030 0.750 0.561
Cd: 0.000 0.000 0.000
Nd: 0.112 0.577 0.224
Nd: 0.388 0.077 0.776
Nd: 0.888 0.423 0.776
Nd: 0.612 0.923 0.224

DOS at the Fermi energy	14.06	states/eV/cell
energy relative to the lowest polymorph listed for this composition	78.3	meV/atom
crystal system	orthorhombic
electronic total energy	-1.755	eV/atom
E_form	-0.26	eV per atom
space group	Cmce (64)

***

This record from Alexandria via LeMat-Bulk describes a relaxed SmThOs crystal. The functional is PBE.

a = 4.521 Å, b = 5.468 Å, c = 7.826 Å
α = 116.11°, β = 90.00°, γ = 90.00°
Fractional coordinates of all 6 atoms:
Th: 0.250 0.293 0.059
Th: 0.750 0.707 0.941
Sm: 0.750 0.192 0.438
Sm: 0.250 0.808 0.562
Os: 0.250 0.892 0.202
Os: 0.750 0.108 0.798

DOS at the Fermi energy	5.40	states/eV/cell
energy relative to the lowest polymorph listed for this composition	0.0	meV/atom
crystal system	monoclinic
electronic total energy	-8.002	eV/atom
E_form	-0.21	eV per atom
space group	P2_1/m (11)

***

This record from Alexandria via LeMat-Bulk describes a relaxed ZrVH crystal. The functional is PBE.

a = 2.920 Å, b = 5.571 Å, c = 5.755 Å
α = 118.81°, β = 81.39°, γ = 79.21°
Fractional coordinates of all 6 atoms:
H: 0.089 0.156 0.208
H: 0.676 0.922 0.788
V: 0.073 0.147 0.858
V: 0.519 0.147 0.426
Zr: 0.044 0.626 0.380
Zr: 0.549 0.628 0.889

DOS at the Fermi energy	5.59	states/eV/cell
energy relative to the lowest polymorph listed for this composition	27.7	meV/atom
crystal system	triclinic
electronic total energy	-7.058	eV/atom
space group	P1 (1)